(1)
Entry from the Alexandria database: a geometry-optimized TbCeHoS3 structure (PBE).

The structure in extended XYZ format:
```
12
Lattice="7.502 0.000 0.000 0.000 3.922 0.000 -1.962 0.000 9.784" Properties=species:S:1:pos:R:3 pbc="T T T"
Tb 1.163 0.980 1.163
Tb 4.377 2.941 8.621
Ce -0.002 0.980 6.935
Ce 5.542 2.941 2.849
Ho 1.664 2.941 4.004
Ho 3.877 0.980 5.780
S -0.112 0.980 3.749
S -0.364 2.941 9.115
S 2.196 2.941 6.678
S 3.345 0.980 3.106
S 5.905 0.980 0.669
S 5.653 2.941 6.035
```

Values from the calculation:
- M_tot (μB/f.u.) = 0.88
- ΔE_f (raw) (eV per atom) = -1.784
- calculated volume (Å³ per atom) = 23.99

---

(2)
Entry from the Alexandria database: a geometry-optimized MgCrSb structure (PBE).

The structure in extended XYZ format:
```
6
Lattice="2.224 1.284 7.462 -2.224 1.284 7.462 0.000 -2.568 7.462" Properties=species:S:1:pos:R:3 pbc="T T T"
Mg 0.000 0.000 0.000
Mg 0.000 0.000 3.607
Cr 0.000 0.000 6.449
Cr 0.000 0.000 8.608
Sb 0.000 0.000 13.049
Sb 0.000 0.000 16.892
```

Values from the calculation:
- M_tot (μB/f.u.) = 1.86
- ΔE_f (raw) (eV per atom) = 0.194
- calculated volume (Å³ per atom) = 21.32

---

(3)
Entry from the Alexandria database: a geometry-optimized EuCd2Bi structure (PBE).

The structure in extended XYZ format:
```
4
Lattice="1.730 0.999 11.975 -1.730 0.999 11.975 0.000 -1.998 11.975" Properties=species:S:1:pos:R:3 pbc="T T T"
Eu 0.000 0.000 0.000
Cd 0.000 0.000 3.215
Cd 0.000 0.000 32.710
Bi 0.000 0.000 17.963
```

Values from the calculation:
- formation energy (eV/atom) = 0.151
- M_tot (μB/f.u.) = 7.83
- polymorph energy (0 for the lowest one) (meV/atom) = 557
- calculated volume (Å³ per atom) = 31.04

---

(4)
Entry from the Alexandria database: a geometry-optimized Pr2GeC structure (PBE).

The structure in extended XYZ format:
```
4
Lattice="1.836 1.060 9.066 -1.836 1.060 9.066 0.000 -2.120 9.066" Properties=species:S:1:pos:R:3 pbc="T T T"
Pr 0.000 0.000 3.100
Pr 0.000 0.000 24.099
Ge 0.000 0.000 0.000
C 0.000 0.000 13.600
```

Values from the calculation:
- formation energy (eV/atom) = 0.100
- M_tot (μB/f.u.) = 0.00
- calculated volume (Å³ per atom) = 26.46